A plane-wave DFT calculation with PBE+U was carried out for Na2Tl3CrF9 after structural relaxation.

Computed properties:
Final energy in eV/atom: -4.56
Total magnetic moment in μB per formula unit: 1.95
Calculated density in Mg/m³: 6.0
DOS(E_F) in states/eV/f.u.: 4.88

a b c (Å): 6.1374 6.1374 7.4246
angles (deg): 90.00 90.00 120.00
Space group P-3m1 (No. 164)
Inequivalent atoms, fractional coordinates:
Na: 0.3333 0.6667 0.2029
Tl: 0.0000 0.0000 0.0000
Tl: 0.3333 0.6667 0.7525
Cr: 0.0000 0.0000 0.5000
F: 0.0000 0.5000 0.0000
F: 0.1472 0.2945 0.3491